The following is a PBE calculation of SrTiTcTe2 after structural relaxation, from Alexandria via LeMat-Bulk.

The space group is P4/mmm (No. 123) and the conventional cell measures 5.958, 5.958 and 5.162 Å, with angles of 90.00, 90.00 and 90.00 degrees. Symmetry generates all atoms from Sr at (0.000, 0.000, 0.000), Ti at (0.500, 0.500, 0.500), Tc at (0.000, 0.000, 0.500) and Te at (0.000, 0.500, 0.000).

For the uncorrected formation energy, the calculation gives 1.5332 eV per atom. The electronic total energy comes out at -3.71 eV per atom.

=====

The following is a PBE calculation of SmEr4Th5 after structural relaxation, from Alexandria via LeMat-Bulk.

The space group is C2/m (No. 12) and the conventional cell measures 22.368, 3.526 and 8.340 Å, with angles of 90.00, 91.99 and 90.00 degrees. Symmetry generates all atoms from Sm at (0.000, 0.000, 0.000), Er at (0.093, 0.500, 0.741), Er at (0.179, 0.000, 0.008), Th at (0.000, 0.000, 0.500), Th at (0.114, 0.500, 0.325) and Th at (0.236, 0.500, 0.664).

The electronic total energy comes out at -5.80 eV per atom. For the formation energy, the calculation gives 0.21 eV per atom.

=====

The following is a PBE calculation of Hg5Au2 after structural relaxation, from Alexandria via LeMat-Bulk.

The space group is C2/c (No. 15) and the conventional cell measures 15.011, 6.765 and 7.092 Å, with angles of 90.00, 101.28 and 90.00 degrees. Symmetry generates all atoms from Hg at (0.000, 0.084, 0.250), Hg at (0.089, 0.380, 0.955), Hg at (0.214, 0.108, 0.275) and Au at (0.113, 0.222, 0.592).

The electronic total energy comes out at -1.11 eV per atom. For the formation energy, the calculation gives 0.05 eV per atom.

=====

The following is a PBE calculation of SmEr2Rh after structural relaxation, from Alexandria via LeMat-Bulk.

The space group is Cmcm (No. 63) and the conventional cell measures 3.771, 12.072 and 9.376 Å, with angles of 90.00, 90.00 and 90.00 degrees. Symmetry generates all atoms from Sm at (0.000, 0.074, 0.250), Er at (0.000, 0.360, 0.068) and Rh at (0.000, 0.243, 0.750).

The electronic total energy comes out at -5.79 eV per atom. For the formation energy, the calculation gives -0.50 eV per atom. Its polymorph energy (0 for the lowest one) is 29 meV/atom.